--- 1 ---
Cu3BIr: optimized geometry, GGA-PBE.

Results
M_tot ... 0.0 μB per formula unit
D(E_F) ... 0.95 states/eV per atom
ρ ... 10907 kg/m3
SG ... No. 221

abc: 3.9134 3.9134 3.9134
angles: 90.00 90.00 90.00
Last column: nearest neighbours and their distance in Å.
Element x y z (fractional)
Cu: 0.0000 0.0000 0.5000  2 B 1.96
Cu: 0.0000 0.5000 0.0000  2 B 1.96
Cu: 0.5000 0.0000 0.0000  2 B 1.96
B: 0.0000 0.0000 0.0000  6 Cu 1.96
Ir: 0.5000 0.5000 0.5000  12 Cu 2.77



--- 2 ---
Cu3BIr: optimized geometry, GGA-PBE.

Results
M_tot ... 0.0 μB per formula unit
D(E_F) ... 1.32 states/eV per atom
ρ ... 6492 kg/m3
SG ... No. 221

abc: 4.6523 4.6523 4.6523
angles: 90.00 90.00 90.00
Last column: nearest neighbours and their distance in Å.
Element x y z (fractional)
Cu: 0.0000 0.0000 0.5000  2 Ir 2.33
Cu: 0.0000 0.5000 0.0000  2 Ir 2.33
Cu: 0.5000 0.0000 0.0000  2 Ir 2.33
B: 0.5000 0.5000 0.5000  12 Cu 3.29
Ir: 0.0000 0.0000 0.0000  6 Cu 2.33



Relative energies with respect to the most stable structure, expressed in kJ/mol of atoms: 1 0.0; 2 139.4.



--- 1 ---
KCuB2: optimized geometry, GGA-PBE.

Results
M_tot ... 0.0 μB per formula unit
D(E_F) ... 0.15 states/eV per atom
ρ ... 2859 kg/m3
SG ... No. 141

abc: 6.8486 6.8486 6.8486
angles: 137.61 137.61 61.50
Last column: nearest neighbours and their distance in Å.
Element x y z (fractional)
K: 0.3750 0.6250 0.7500  8 B 3.14, 4 Cu 3.50
K: 0.6250 0.3750 0.2500  8 B 3.14, 4 Cu 3.50
Cu: 0.1250 0.8750 0.2500  4 B 1.92
Cu: 0.8750 0.1250 0.7500  4 B 1.92
B: 0.0000 0.0000 0.0000  2 Cu 1.92
B: 0.0000 0.0000 0.5000  2 Cu 1.92
B: 0.0000 0.5000 0.0000  2 Cu 1.92
B: 0.5000 0.0000 0.5000  2 Cu 1.92



--- 2 ---
KCuB2: optimized geometry, GGA-PBE.

Results
M_tot ... 0.0 μB per formula unit
D(E_F) ... 0.41 states/eV per atom
ρ ... 3640 kg/m3
SG ... No. 225

abc: 4.3121 4.3121 4.3121
angles: 60.00 60.00 60.00
Last column: nearest neighbours and their distance in Å.
Element x y z (fractional)
K: 0.0000 0.0000 0.0000  8 B 2.64
Cu: 0.5000 0.5000 0.5000  8 B 2.64
B: 0.2500 0.2500 0.2500  4 Cu 2.64, 4 K 2.64
B: 0.7500 0.7500 0.7500  4 Cu 2.64, 4 K 2.64



Relative energies with respect to the most stable structure, expressed in kJ/mol of atoms: 1 0.0; 2 86.6.



--- 1 ---
KCuB3: optimized geometry, GGA-PBE.

Results
M_tot ... 0.0 μB per formula unit
D(E_F) ... 0.56 states/eV per atom
ρ ... 3227 kg/m3
SG ... No. 221

abc: 4.1116 4.1116 4.1116
angles: 90.00 90.00 90.00
Last column: nearest neighbours and their distance in Å.
Element x y z (fractional)
K: 0.0000 0.0000 0.0000  12 B 2.91
Cu: 0.5000 0.5000 0.5000  6 B 2.06
B: 0.0000 0.5000 0.5000  2 Cu 2.06
B: 0.5000 0.0000 0.5000  2 Cu 2.06
B: 0.5000 0.5000 0.0000  2 Cu 2.06



--- 2 ---
KCuB3: optimized geometry, GGA-PBE.

Results
M_tot ... 1.2 μB per formula unit
D(E_F) ... 0.90 states/eV per atom
ρ ... 1985 kg/m3
SG ... No. 221

abc: 4.8347 4.8347 4.8347
angles: 90.00 90.00 90.00
Last column: nearest neighbours and their distance in Å.
Element x y z (fractional)
K: 0.0000 0.0000 0.0000  6 B 2.42
Cu: 0.5000 0.5000 0.5000  12 B 3.42
B: 0.0000 0.0000 0.5000  2 K 2.42
B: 0.0000 0.5000 0.0000  2 K 2.42
B: 0.5000 0.0000 0.0000  2 K 2.42



Relative energies with respect to the most stable structure, expressed in kJ/mol of atoms: 1 0.0; 2 185.1.



--- 1 ---
La2YCuB: optimized geometry, GGA-PBE.

Results
M_tot ... 0.0 μB per formula unit
D(E_F) ... 1.27 states/eV per atom
ρ ... 5607 kg/m3
SG ... No. 123

abc: 5.7951 5.7951 3.8896
angles: 90.00 90.00 90.00
Last column: nearest neighbours and their distance in Å.
Element x y z (fractional)
La: 0.0000 0.5000 0.0000  2 Cu 2.90
La: 0.5000 0.0000 0.0000  2 Cu 2.90
Y: 0.0000 0.0000 0.5000  8 La 3.49, 2 Y 3.89
Cu: 0.5000 0.5000 0.0000  2 B 1.94
B: 0.5000 0.5000 0.5000  2 Cu 1.94



--- 2 ---
La2YCuB: optimized geometry, GGA-PBE.

Results
M_tot ... 0.0 μB per formula unit
D(E_F) ... 1.46 states/eV per atom
ρ ... 5258 kg/m3
SG ... No. 123

abc: 5.2730 5.2730 5.0096
angles: 90.00 90.00 90.00
Last column: nearest neighbours and their distance in Å.
Element x y z (fractional)
La: 0.0000 0.5000 0.0000  2 B 2.64
La: 0.5000 0.0000 0.0000  2 B 2.64
Y: 0.0000 0.0000 0.5000  2 B 2.50
Cu: 0.5000 0.5000 0.5000  8 La 3.64, 4 Y 3.73
B: 0.0000 0.0000 0.0000  2 Y 2.50, 4 La 2.64



Relative energies with respect to the most stable structure, expressed in kJ/mol of atoms: 1 17.0; 2 0.0.



--- 1 ---
LiCuB2: optimized geometry, GGA-PBE.

Results
M_tot ... 0.0 μB per formula unit
D(E_F) ... 0.20 states/eV per atom
ρ ... 3614 kg/m3
SG ... No. 141

abc: 7.8302 7.8302 7.8302
angles: 155.16 155.16 35.42
Last column: nearest neighbours and their distance in Å.
Element x y z (fractional)
Li: 0.3750 0.6250 0.7500  4 Cu 2.38, 8 B 2.65
Li: 0.6250 0.3750 0.2500  4 Cu 2.38, 8 B 2.65
Cu: 0.1250 0.8750 0.2500  4 B 2.05
Cu: 0.8750 0.1250 0.7500  4 B 2.05
B: 0.0000 0.0000 0.0000  2 B 1.68
B: 0.0000 0.0000 0.5000  2 B 1.68
B: 0.0000 0.5000 0.0000  2 B 1.68
B: 0.5000 0.0000 0.5000  2 B 1.68



--- 2 ---
LiCuB2: optimized geometry, GGA-PBE.

Results
M_tot ... 0.0 μB per formula unit
D(E_F) ... 0.18 states/eV per atom
ρ ... 4627 kg/m3
SG ... No. 225

abc: 3.6025 3.6025 3.6025
angles: 60.00 60.00 60.00
Last column: nearest neighbours and their distance in Å.
Element x y z (fractional)
Li: 0.0000 0.0000 0.0000  8 B 2.21
Cu: 0.5000 0.5000 0.5000  8 B 2.21
B: 0.2500 0.2500 0.2500  4 Li 2.21, 4 Cu 2.21
B: 0.7500 0.7500 0.7500  4 Cu 2.21, 4 Li 2.21



Relative energies with respect to the most stable structure, expressed in kJ/mol of atoms: 1 0.0; 2 37.4.



--- 1 ---
LiCuBO3: optimized geometry, GGA-PBE.

Results
M_tot ... 0.5 μB per formula unit
D(E_F) ... 0.13 states/eV per atom
ρ ... 3702 kg/m3
SG ... No. 61

abc: 5.1910 5.2306 17.0881
angles: 90.00 90.00 90.00
Last column: nearest neighbours and their distance in Å.
Element x y z (fractional)
Li: 0.2486 0.0192 0.2407  4 O 1.96-2.04
Li: 0.2486 0.4808 0.7407  4 O 1.96-2.04
Li: 0.2514 0.5192 0.2407  4 O 1.96-2.04
Li: 0.2514 0.9808 0.7407  4 O 1.96-2.04
Li: 0.7486 0.0192 0.2593  4 O 1.96-2.04
Li: 0.7486 0.4808 0.7593  4 O 1.96-2.04
Li: 0.7514 0.5192 0.2593  4 O 1.96-2.04
Li: 0.7514 0.9808 0.7593  4 O 1.96-2.04
Cu: 0.0018 0.1959 0.5711  4 O 1.96-1.98
Cu: 0.0018 0.3041 0.0711  4 O 1.96-1.98
Cu: 0.4982 0.6959 0.5711  4 O 1.96-1.98
Cu: 0.4982 0.8041 0.0711  4 O 1.96-1.98
Cu: 0.5018 0.1959 0.9289  4 O 1.96-1.98
Cu: 0.5018 0.3041 0.4289  4 O 1.96-1.98
Cu: 0.9982 0.6959 0.9289  4 O 1.96-1.98
Cu: 0.9982 0.8041 0.4289  4 O 1.96-1.98
B: 0.0073 0.2055 0.8739  3 O 1.36-1.42
B: 0.0073 0.2945 0.3739  3 O 1.36-1.42
B: 0.4927 0.7055 0.8739  3 O 1.36-1.42
B: 0.4927 0.7945 0.3739  3 O 1.36-1.42
B: 0.5073 0.2055 0.6261  3 O 1.36-1.42
B: 0.5073 0.2945 0.1261  3 O 1.36-1.42
B: 0.9927 0.7055 0.6261  3 O 1.36-1.42
B: 0.9927 0.7945 0.1261  3 O 1.36-1.42
O: 0.0280 0.2325 0.7950  1 B 1.36
O: 0.0280 0.2675 0.2950  1 B 1.36
O: 0.1541 0.1498 0.4280  1 B 1.42
O: 0.1541 0.3502 0.9280  1 B 1.42
O: 0.1671 0.5236 0.5951  1 B 1.42
O: 0.1671 0.9764 0.0951  1 B 1.42
O: 0.3329 0.0236 0.5951  1 B 1.42
O: 0.3329 0.4764 0.0951  1 B 1.42
O: 0.3459 0.6498 0.4280  1 B 1.42
O: 0.3459 0.8502 0.9280  1 B 1.42
O: 0.4720 0.7325 0.7950  1 B 1.36
O: 0.4720 0.7675 0.2950  1 B 1.36
O: 0.5280 0.2325 0.7050  1 B 1.36
O: 0.5280 0.2675 0.2050  1 B 1.36
O: 0.6541 0.1498 0.0720  1 B 1.42
O: 0.6541 0.3502 0.5720  1 B 1.42
O: 0.6671 0.5236 0.9049  1 B 1.42
O: 0.6671 0.9764 0.4049  1 B 1.42
O: 0.8329 0.0236 0.9049  1 B 1.42
O: 0.8329 0.4764 0.4049  1 B 1.42
O: 0.8459 0.6498 0.0720  1 B 1.42
O: 0.8459 0.8502 0.5720  1 B 1.42
O: 0.9720 0.7325 0.7050  1 B 1.36
O: 0.9720 0.7675 0.2050  1 B 1.36



--- 2 ---
LiCuBO3: optimized geometry, GGA-PBE.

Results
M_tot ... 1.0 μB per formula unit
D(E_F) ... 0.15 states/eV per atom
ρ ... 3764 kg/m3
SG ... No. 9

abc: 5.2408 5.2408 9.5339
angles: 91.15 91.15 119.32
Last column: nearest neighbours and their distance in Å.
Element x y z (fractional)
Li: 0.0002 0.9998 0.0000  4 O 1.95-2.08
Li: 0.9998 0.0002 0.5000  4 O 1.95-2.08
Li: 0.6662 0.6820 0.7504  4 O 1.91-2.04
Li: 0.6820 0.6662 0.2504  4 O 1.91-2.04
Cu: 0.0186 0.3578 0.2730  5 O 2.00-2.10
Cu: 0.3277 0.6723 0.0248  5 O 2.00-2.11
Cu: 0.3578 0.0186 0.7730  5 O 2.00-2.10
Cu: 0.6723 0.3277 0.5248  5 O 2.00-2.11
B: 0.0059 0.3363 0.7779  3 O 1.36-1.41
B: 0.3363 0.0059 0.2779  3 O 1.36-1.41
B: 0.3397 0.6770 0.5287  3 O 1.36-1.41
B: 0.6770 0.3397 0.0287  3 O 1.36-1.41
O: 0.0680 0.9853 0.2864  1 B 1.36
O: 0.0888 0.4181 0.4816  1 B 1.41
O: 0.2680 0.5919 0.8171  1 B 1.41
O: 0.3065 0.9203 0.5670  1 B 1.41
O: 0.3674 0.7646 0.2331  1 B 1.41
O: 0.4181 0.0888 0.9816  1 B 1.41
O: 0.5919 0.2680 0.3171  1 B 1.41
O: 0.6054 0.6907 0.5384  1 B 1.36
O: 0.6907 0.6054 0.0384  1 B 1.36
O: 0.7646 0.3674 0.7331  1 B 1.41
O: 0.9203 0.3065 0.0670  1 B 1.41
O: 0.9853 0.0680 0.7864  1 B 1.36



Relative energies with respect to the most stable structure, expressed in kJ/mol of atoms: 1 0.8; 2 0.0.



--- 1 ---
LiCuBO3: optimized geometry, GGA-PBE.

Results
M_tot ... 1.0 μB per formula unit
D(E_F) ... 0.31 states/eV per atom
ρ ... 3720 kg/m3
SG ... No. 174

abc: 8.0984 8.0984 3.0489
angles: 90.00 90.00 120.00
Last column: nearest neighbours and their distance in Å.
Element x y z (fractional)
Li: 0.0182 0.2931 0.0000  4 O 1.93-2.01
Li: 0.2749 0.9818 0.0000  4 O 1.93-2.01
Li: 0.7069 0.7251 0.0000  4 O 1.93-2.01
Cu: 0.3861 0.3724 0.5000  5 O 2.06-2.08
Cu: 0.6276 0.0137 0.5000  5 O 2.06-2.08
Cu: 0.9863 0.6139 0.5000  5 O 2.06-2.08
B: 0.0000 0.0000 0.5000  3 O 1.39
B: 0.3333 0.6667 0.0000  3 O 1.39
B: 0.6667 0.3333 0.0000  3 O 1.39
O: 0.0912 0.1974 0.5000  1 B 1.39
O: 0.1061 0.9088 0.5000  1 B 1.39
O: 0.1362 0.5779 0.0000  1 B 1.39
O: 0.4221 0.5582 0.0000  1 B 1.39
O: 0.4418 0.8638 0.0000  1 B 1.39
O: 0.4696 0.2563 0.0000  1 B 1.39
O: 0.7437 0.2133 0.0000  1 B 1.39
O: 0.7867 0.5304 0.0000  1 B 1.39
O: 0.8026 0.8939 0.5000  1 B 1.39



--- 2 ---
LiCuBO3: optimized geometry, GGA-PBE.

Results
M_tot ... 0.4 μB per formula unit
D(E_F) ... 0.49 states/eV per atom
ρ ... 3655 kg/m3
SG ... No. 174

abc: 8.0371 8.0371 3.1499
angles: 90.00 90.00 120.00
Last column: nearest neighbours and their distance in Å.
Element x y z (fractional)
Li: 0.0065 0.7072 0.0000  5 O 1.99-2.18
Li: 0.2928 0.2993 0.0000  5 O 1.99-2.18
Li: 0.7007 0.9935 0.0000  5 O 1.99-2.18
Cu: 0.3822 0.0098 0.5000  4 O 1.95-2.06
Cu: 0.6276 0.6178 0.5000  4 O 1.95-2.06
Cu: 0.9902 0.3724 0.5000  4 O 1.95-2.06
B: 0.0000 0.0000 0.5000  3 O 1.39
B: 0.3333 0.6667 0.0000  3 O 1.38
B: 0.6667 0.3333 0.5000  3 O 1.37
O: 0.0948 0.1991 0.5000  1 B 1.39
O: 0.1043 0.9052 0.5000  1 B 1.39
O: 0.1354 0.5510 0.0000  1 B 1.38
O: 0.4156 0.8646 0.0000  1 B 1.38
O: 0.4490 0.5844 0.0000  1 B 1.38
O: 0.4818 0.3008 0.5000  1 B 1.37
O: 0.6992 0.1810 0.5000  1 B 1.37
O: 0.8009 0.8957 0.5000  1 B 1.39
O: 0.8190 0.5182 0.5000  1 B 1.37



Relative energies with respect to the most stable structure, expressed in kJ/mol of atoms: 1 0.0; 2 0.5.



--- 1 ---
LiCuBRh2: optimized geometry, GGA-PBE.

Results
M_tot ... 0.0 μB per formula unit
D(E_F) ... 1.13 states/eV per atom
ρ ... 7266 kg/m3
SG ... No. 123

abc: 4.0801 4.0801 3.9411
angles: 90.00 90.00 90.00
Last column: nearest neighbours and their distance in Å.
Element x y z (fractional)
Li: 0.0000 0.0000 0.0000  8 Rh 2.84, 4 Cu 2.89
Cu: 0.5000 0.5000 0.0000  2 B 1.97
B: 0.5000 0.5000 0.5000  2 Cu 1.97, 4 Rh 2.04
Rh: 0.0000 0.5000 0.5000  2 B 2.04
Rh: 0.5000 0.0000 0.5000  2 B 2.04



--- 2 ---
LiCuBRh2: optimized geometry, GGA-PBE.

Results
M_tot ... 0.0 μB per formula unit
D(E_F) ... 0.50 states/eV per atom
ρ ... 7620 kg/m3
SG ... No. 123

abc: 4.1087 4.1087 3.7063
angles: 90.00 90.00 90.00
Last column: nearest neighbours and their distance in Å.
Element x y z (fractional)
Li: 0.0000 0.0000 0.0000  2 Cu 1.85, 4 Rh 2.05
Cu: 0.0000 0.0000 0.5000  2 Li 1.85
B: 0.5000 0.5000 0.5000  8 Rh 2.77, 4 Cu 2.91
Rh: 0.0000 0.5000 0.0000  2 Li 2.05
Rh: 0.5000 0.0000 0.0000  2 Li 2.05



Relative energies with respect to the most stable structure, expressed in kJ/mol of atoms: 1 0.0; 2 128.5.



--- 1 ---
MgCuB: optimized geometry, GGA-PBE.

Results
M_tot ... 0.0 μB per formula unit
D(E_F) ... 0.23 states/eV per atom
ρ ... 4256 kg/m3
SG ... No. 8

abc: 4.5325 4.5325 6.1116
angles: 108.20 108.20 40.57
Last column: nearest neighbours and their distance in Å.
Element x y z (fractional)
Mg: 0.0000 0.0000 0.0000  6 B 2.46-2.63, 5 Cu 2.63-2.73
Mg: 0.6775 0.6775 0.4567  3 B 2.48-2.67, 3 Cu 2.61-2.64
Cu: 0.3292 0.3292 0.2089  1 B 2.19
Cu: 0.4385 0.4385 0.6362  2 B 2.16-2.31
B: 0.2464 0.2464 0.8290  2 B 1.68
B: 0.6927 0.6927 0.8687  2 B 1.68



--- 2 ---
MgCuB: optimized geometry, GGA-PBE.

Results
M_tot ... 0.0 μB per formula unit
D(E_F) ... 0.25 states/eV per atom
ρ ... 4068 kg/m3
SG ... No. 1

abc: 4.0049 4.8499 4.8654
angles: 102.55 104.80 110.47
Last column: nearest neighbours and their distance in Å.
Element x y z (fractional)
Mg: 0.0000 0.0000 0.0000  4 B 2.49-2.66, 1 Cu 2.76
Mg: 0.0605 0.4020 0.6416  4 B 2.47-2.66, 2 Cu 2.69-2.70
Cu: 0.3241 0.9607 0.5635  2 B 1.96-2.03
Cu: 0.5961 0.6452 0.3051  3 B 2.05-2.19
B: 0.0346 0.5703 0.1907  1 B 1.60
B: 0.6328 0.3255 0.9322  1 B 1.60



Relative energies with respect to the most stable structure, expressed in kJ/mol of atoms: 1 4.0; 2 0.0.



--- 1 ---
MgCuB: optimized geometry, GGA-PBE.

Results
M_tot ... 0.0 μB per formula unit
D(E_F) ... 0.26 states/eV per atom
ρ ... 3953 kg/m3
SG ... No. 1

abc: 3.7901 4.4394 5.5639
angles: 101.07 92.10 114.50
Last column: nearest neighbours and their distance in Å.
Element x y z (fractional)
Mg: 0.0000 0.0000 0.0000  3 B 2.41-2.62, 1 Cu 2.61
Mg: 0.4540 0.9017 0.4597  3 B 2.41-2.63, 1 Cu 2.61
Cu: 0.2283 0.4519 0.7308  4 B 2.06-2.07
Cu: 0.7273 0.4508 0.2297  2 B 2.00-2.01
B: 0.7038 0.3886 0.8618  1 B 1.66
B: 0.7516 0.5131 0.5975  1 B 1.66



--- 2 ---
MgCuB: optimized geometry, GGA-PBE.

Results
M_tot ... 0.0 μB per formula unit
D(E_F) ... 0.21 states/eV per atom
ρ ... 4340 kg/m3
SG ... No. 12

abc: 5.8052 5.8052 4.5159
angles: 105.89 105.89 31.16
Last column: nearest neighbours and their distance in Å.
Element x y z (fractional)
Mg: 0.1211 0.1211 0.3071  3 B 2.42-2.66, 2 Cu 2.67
Mg: 0.8789 0.8789 0.6929  3 B 2.42-2.66, 2 Cu 2.67
Cu: 0.4140 0.4140 0.2447  3 B 2.09-2.26
Cu: 0.5860 0.5860 0.7553  3 B 2.09-2.26
B: 0.2365 0.2365 0.9280  2 B 1.68
B: 0.7635 0.7635 0.0720  2 B 1.68



--- 3 ---
MgCuB: optimized geometry, GGA-PBE.

Results
M_tot ... 0.0 μB per formula unit
D(E_F) ... 0.13 states/eV per atom
ρ ... 4284 kg/m3
SG ... No. 11

abc: 4.6751 3.0494 5.7427
angles: 90.00 110.91 90.00
Last column: nearest neighbours and their distance in Å.
Element x y z (fractional)
Mg: 0.0171 0.2500 0.2629  3 B 2.41-2.50
Mg: 0.9829 0.7500 0.7371  3 B 2.41-2.50
Cu: 0.4954 0.2500 0.8256  3 B 2.11-2.27
Cu: 0.5046 0.7500 0.1744  3 B 2.11-2.27
B: 0.4367 0.7500 0.5184  2 B 1.68
B: 0.5633 0.2500 0.4816  2 B 1.68



--- 4 ---
MgCuB: optimized geometry, GGA-PBE.

Results
M_tot ... 0.0 μB per formula unit
D(E_F) ... 0.20 states/eV per atom
ρ ... 4324 kg/m3
SG ... No. 65

abc: 6.0612 6.0612 3.2839
angles: 90.00 90.00 141.09
Last column: nearest neighbours and their distance in Å.
Element x y z (fractional)
Mg: 0.1309 0.8691 0.0000  4 B 2.64, 6 Cu 2.66-2.72
Mg: 0.8691 0.1309 0.0000  4 B 2.64, 6 Cu 2.66-2.72
Cu: 0.3204 0.6796 0.5000  2 B 2.21
Cu: 0.6796 0.3204 0.5000  2 B 2.21
B: 0.5000 0.5000 0.2476  2 B 1.63-1.66
B: 0.5000 0.5000 0.7524  2 B 1.63-1.66



Relative energies with respect to the most stable structure, expressed in kJ/mol of atoms: 1 7.4; 2 1.0; 3 2.8; 4 0.0.